# 1
The following is a SCAN calculation of a PBEsol-optimized structure of Li2MnPbSe, from Alexandria.

The structure in extended XYZ format:
```
5
Lattice="4.6343 0.0000 0.0000 0.0000 4.6343 0.0000 0.0000 0.0000 4.8192" Properties=species:S:1:pos:R:3 pbc="T T T"
Li 0.0000 2.3171 0.0000
Li 2.3171 0.0000 0.0000
Mn 0.0000 0.0000 2.4096
Pb 2.3171 2.3171 2.4096
Se 0.0000 0.0000 0.0000
```

Results
M_tot: 3.89 μB/f.u.
Formation energy without anion corrections: -221 kJ/mol of formula units
Space group: No. 123

# 2
The following is a SCAN calculation of a PBEsol-optimized structure of Li2MnPt, from Alexandria.

The structure in extended XYZ format:
```
4
Lattice="2.6886 0.0000 0.0000 0.0000 2.6886 0.0000 0.0000 0.0000 7.9153" Properties=species:S:1:pos:R:3 pbc="T T T"
Li 0.0000 0.0000 1.7601
Li 0.0000 0.0000 6.1552
Mn 1.3443 1.3443 3.9576
Pt 1.3443 1.3443 0.0000
```

Results
M_tot: 4.16 μB/f.u.
Formation enthalpy at 0 K: -0.25 eV/atom
Space group: No. 123

# 3
The following is a SCAN calculation of a PBEsol-optimized structure of LiMnPt3, from Alexandria.

The structure in extended XYZ format:
```
5
Lattice="4.1584 0.0000 0.0000 0.0000 4.1584 0.0000 0.0000 0.0000 4.1584" Properties=species:S:1:pos:R:3 pbc="T T T"
Li 0.0000 0.0000 0.0000
Mn 2.0792 2.0792 2.0792
Pt 0.0000 0.0000 2.0792
Pt 0.0000 2.0792 0.0000
Pt 2.0792 0.0000 0.0000
```

Results
M_tot: 4.94 μB/f.u.
Formation enthalpy at 0 K: 0.08 eV/atom
Space group: No. 221

# 4
The following is a SCAN calculation of a PBEsol-optimized structure of Li2MnPt, from Alexandria.

The structure in extended XYZ format:
```
4
Lattice="0.0000 2.9495 2.9495 2.9495 0.0000 2.9495 2.9495 2.9495 0.0000" Properties=species:S:1:pos:R:3 pbc="T T T"
Li 1.4747 1.4747 1.4747
Li 4.4242 4.4242 4.4242
Mn 0.0000 0.0000 0.0000
Pt 2.9495 2.9495 2.9495
```

Results
M_tot: 4.65 μB/f.u.
Formation enthalpy at 0 K: -0.42 eV/atom
Space group: No. 225

# 5
The following is a SCAN calculation of a PBEsol-optimized structure of Li2MnPt, from Alexandria.

The structure in extended XYZ format:
```
4
Lattice="2.5662 -4.5044 0.0000 2.5662 4.5044 0.0000 -1.3015 0.0000 2.3712" Properties=species:S:1:pos:R:3 pbc="T T T"
Li 1.2831 2.2522 0.0000
Li 1.2831 -2.2522 0.0000
Mn -0.6507 0.0000 1.1856
Pt 1.9155 0.0000 1.1856
```

Results
M_tot: 3.81 μB/f.u.
Formation enthalpy at 0 K: -0.42 eV/atom
Space group: No. 12

# 6
The following is a SCAN calculation of a PBEsol-optimized structure of RbLiTaMn2, from Alexandria.

The structure in extended XYZ format:
```
5
Lattice="4.8084 0.0000 0.0000 0.0000 4.8084 0.0000 0.0000 0.0000 4.6824" Properties=species:S:1:pos:R:3 pbc="T T T"
Rb 0.0000 0.0000 0.0000
Li 2.4042 2.4042 2.3412
Ta 2.4042 2.4042 0.0000
Mn 0.0000 2.4042 2.3412
Mn 2.4042 0.0000 2.3412
```

Results
M_tot: 6.11 μB/f.u.
Formation enthalpy at 0 K: 1.33 eV/atom
Space group: No. 123

# 7
The following is a SCAN calculation of a PBEsol-optimized structure of Li2MnRe, from Alexandria.

The structure in extended XYZ format:
```
4
Lattice="2.4322 0.0000 0.0000 0.0000 2.4322 0.0000 0.0000 0.0000 8.8631" Properties=species:S:1:pos:R:3 pbc="T T T"
Li 0.0000 0.0000 2.1732
Li 0.0000 0.0000 6.6899
Mn 1.2161 1.2161 0.0000
Re 1.2161 1.2161 4.4316
```

Results
M_tot: 3.85 μB/f.u.
Formation enthalpy at 0 K: 0.35 eV/atom
Space group: No. 123

# 8
The following is a SCAN calculation of a PBEsol-optimized structure of Li2MnRe, from Alexandria.

The structure in extended XYZ format:
```
4
Lattice="0.0000 2.8595 2.8595 2.8595 0.0000 2.8595 2.8595 2.8595 0.0000" Properties=species:S:1:pos:R:3 pbc="T T T"
Li 0.0000 0.0000 0.0000
Li 1.4298 1.4298 1.4298
Mn 4.2893 4.2893 4.2893
Re 2.8595 2.8595 2.8595
```

Results
M_tot: 0.01 μB/f.u.
Formation enthalpy at 0 K: 0.38 eV/atom
Space group: No. 216

# 9
The following is a SCAN calculation of a PBEsol-optimized structure of LiMn2Re, from Alexandria.

The structure in extended XYZ format:
```
4
Lattice="-1.4482 2.0253 3.9090 1.4482 -2.0253 3.9090 1.4482 2.0253 -3.9090" Properties=species:S:1:pos:R:3 pbc="T T T"
Li 0.0000 0.0000 0.0000
Mn 1.4482 0.0000 2.0054
Mn 0.0000 2.0253 1.9035
Re 0.0000 0.0000 3.9090
```

Results
M_tot: 0.00 μB/f.u.
Formation enthalpy at 0 K: 0.35 eV/atom
Space group: No. 71

# 10
The following is a SCAN calculation of a PBEsol-optimized structure of LiMn2Rh, from Alexandria.

The structure in extended XYZ format:
```
4
Lattice="1.3725 -2.1359 0.0000 1.3725 2.1359 0.0000 0.0000 0.0000 8.3950" Properties=species:S:1:pos:R:3 pbc="T T T"
Li 0.0000 0.0000 0.0000
Mn 0.0000 0.0000 4.0998
Mn 1.3725 0.0000 2.2667
Rh 1.3725 0.0000 6.2201
```

Results
M_tot: 0.74 μB/f.u.
Formation enthalpy at 0 K: 0.04 eV/atom
Space group: No. 35

# 11
The following is a SCAN calculation of a PBEsol-optimized structure of LiMn2Rh, from Alexandria.

The structure in extended XYZ format:
```
4
Lattice="0.0000 2.9017 2.9017 2.9017 0.0000 2.9017 2.9017 2.9017 0.0000" Properties=species:S:1:pos:R:3 pbc="T T T"
Li 0.0000 0.0000 0.0000
Mn 1.4508 1.4508 1.4508
Mn 2.9017 2.9017 2.9017
Rh 4.3525 4.3525 4.3525
```

Results
M_tot: 0.11 μB/f.u.
Formation enthalpy at 0 K: -0.32 eV/atom
Space group: No. 216

# 12
The following is a SCAN calculation of a PBEsol-optimized structure of LiMnRh2, from Alexandria.

The structure in extended XYZ format:
```
4
Lattice="2.6525 0.0000 0.0000 0.0000 3.8311 0.0000 0.0000 0.0000 5.0145" Properties=species:S:1:pos:R:3 pbc="T T T"
Li 0.0000 0.0000 0.0000
Mn 1.3262 1.9155 1.3093
Rh 0.0000 0.0000 2.5064
Rh 1.3262 1.9155 3.8648
```

Results
M_tot: 3.12 μB/f.u.
Formation enthalpy at 0 K: -0.19 eV/atom
Space group: No. 25

Record-wise Fermi-level density of states values, in states/eV/f.u.: 2.641; 2.008; 2.664; 2.273; 1.841; 3.959; 2.299; 2.690; 3.606; 3.220; 1.689; 2.629